[1]
VASP calculation (GGA-PBE) on an optimized crystal structure of SrSiTe.

Lattice parameters (Å, degrees): 8.512 8.512 8.512 149.50 140.48 50.73
Atoms (fractional coordinates):
Sr1 0.139 0.139 0.000
Sr2 0.861 0.861 0.000
Si1 0.193 0.500 0.693
Si2 0.807 0.500 0.307
Te1 0.356 0.356 0.000
Te2 0.644 0.644 0.000

- M_tot: 0.00 μB/f.u.
- VASP energy: -3.86 eV/atom
- Fermi-level density of states: 1.592 states/eV/f.u.
- Polymorph energy (0 for the lowest one): 0.000 eV per atom
- Volume: 33.0 Å³/atom
- Formation energy without anion corrections: -0.445 eV per atom

***

[2]
VASP calculation (GGA-PBE) on an optimized crystal structure of Tb7AsI12.

Lattice parameters (Å, degrees): 9.753 9.753 9.753 108.07 108.07 108.07
Atoms (fractional coordinates):
Tb1 0.000 0.000 0.000
Tb2 0.191 0.397 0.468
Tb3 0.397 0.468 0.191
Tb4 0.468 0.191 0.397
Tb5 0.532 0.809 0.603
Tb6 0.603 0.532 0.809
Tb7 0.809 0.603 0.532
As1 0.500 0.500 0.500
I1 0.033 0.346 0.113
I2 0.113 0.033 0.346
I3 0.187 0.728 0.578
I4 0.272 0.422 0.813
I5 0.346 0.113 0.033
I6 0.422 0.813 0.272
I7 0.578 0.187 0.728
I8 0.654 0.887 0.967
I9 0.728 0.578 0.187
I10 0.813 0.272 0.422
I11 0.887 0.967 0.654
I12 0.967 0.654 0.887

- M_tot: 0.00 μB/f.u.
- VASP energy: -4.09 eV/atom
- Fermi-level density of states: 5.831 states/eV/f.u.
- Volume: 37.5 Å³/atom
- Formation energy without anion corrections: -1.309 eV per atom

***

[3]
VASP calculation (GGA-PBE) on an optimized crystal structure of U3Ga4Cu2.

Lattice parameters (Å, degrees): 5.670 5.670 7.579 95.56 95.56 42.15
Atoms (fractional coordinates):
U1 0.000 0.000 0.000
U2 0.421 0.421 0.761
U3 0.579 0.579 0.239
Ga1 0.100 0.100 0.619
Ga2 0.291 0.291 0.102
Ga3 0.709 0.709 0.898
Ga4 0.900 0.900 0.381
Cu1 0.273 0.273 0.415
Cu2 0.727 0.727 0.585

- M_tot: 6.26 μB/f.u.
- VASP energy: -6.10 eV/atom
- Fermi-level density of states: 10.647 states/eV/f.u.
- Volume: 18.1 Å³/atom

***

[4]
VASP calculation (GGA-PBE) on an optimized crystal structure of Dy3Ru.

Lattice parameters (Å, degrees): 7.298 9.189 6.314 90.00 90.00 90.00
Atoms (fractional coordinates):
Dy1 0.041 0.250 0.134
Dy2 0.177 0.064 0.669
Dy3 0.177 0.436 0.669
Dy4 0.323 0.564 0.169
Dy5 0.323 0.936 0.169
Dy6 0.459 0.750 0.634
Dy7 0.541 0.250 0.366
Dy8 0.677 0.064 0.831
Dy9 0.677 0.436 0.831
Dy10 0.823 0.564 0.331
Dy11 0.823 0.936 0.331
Dy12 0.959 0.750 0.866
Ru1 0.114 0.750 0.460
Ru2 0.386 0.250 0.960
Ru3 0.614 0.750 0.040
Ru4 0.886 0.250 0.540

- M_tot: 0.00 μB/f.u.
- VASP energy: -6.10 eV/atom
- Fermi-level density of states: 2.998 states/eV/f.u.
- Volume: 26.5 Å³/atom

***

[5]
VASP calculation (GGA-PBE) on an optimized crystal structure of AlSi2W.

Lattice parameters (Å, degrees): 4.356 4.356 4.356 60.00 60.00 60.00
Atoms (fractional coordinates):
Al1 0.000 0.000 0.000
Si1 0.250 0.250 0.250
Si2 0.500 0.500 0.500
W1 0.750 0.750 0.750

- M_tot: 0.00 μB/f.u.
- VASP energy: -6.37 eV/atom
- Fermi-level density of states: 3.380 states/eV/f.u.
- Volume: 14.6 Å³/atom
- Formation energy without anion corrections: 0.513 eV per atom

***

[6]
VASP calculation (GGA-PBE) on an optimized crystal structure of PaCdSeO6.

Lattice parameters (Å, degrees): 5.533 5.533 9.510 90.00 90.00 120.00
Atoms (fractional coordinates):
Pa1 0.333 0.667 0.250
Pa2 0.667 0.333 0.750
Cd1 0.000 0.000 0.000
Cd2 0.000 0.000 0.500
Se1 0.333 0.667 0.750
Se2 0.667 0.333 0.250
O1 0.034 0.376 0.637
O2 0.034 0.658 0.863
O3 0.342 0.376 0.863
O4 0.342 0.966 0.637
O5 0.376 0.034 0.137
O6 0.376 0.342 0.363
O7 0.624 0.658 0.637
O8 0.624 0.966 0.863
O9 0.658 0.034 0.363
O10 0.658 0.624 0.137
O11 0.966 0.342 0.137
O12 0.966 0.624 0.363

- M_tot: 0.10 μB/f.u.
- VASP energy: -6.53 eV/atom
- Fermi-level density of states: 5.730 states/eV/f.u.
- Volume: 14.0 Å³/atom
- Formation energy without anion corrections: -1.678 eV per atom